No. 1
# Tb4Ni2H, optimized geometry, DFT PBE-GGA
# E_tot, eV/atom: -5.03
data_Tb4Ni2H
_symmetry_space_group_name_H-M 'I 4/m m m'
_symmetry_Int_Tables_number 139
_symmetry_space_group_name_Hall '-I 4 2'
_cell_length_a 4.6971
_cell_length_b 4.6971
_cell_length_c 13.4999
_cell_angle_alpha 90.00
_cell_angle_beta 90.00
_cell_angle_gamma 90.00
loop_
_atom_site_label
_atom_site_type_symbol
_atom_site_fract_x
_atom_site_fract_y
_atom_site_fract_z
Tb1 Tb 0.0000 0.0000 0.1947
Tb2 Tb 0.0000 0.5000 0.0000
Ni1 Ni 0.0000 0.0000 0.3860
H1 H 0.0000 0.0000 0.0000

No. 2
# CeAl2Pd, optimized geometry, DFT PBE-GGA
# E_tot, eV/atom: -5.03
# ΔH_f (0 K), meV/atom: -380
data_CeAl2Pd
_symmetry_space_group_name_H-M 'R -3 m'
_symmetry_Int_Tables_number 166
_symmetry_space_group_name_Hall '-R 3 2"'
_cell_length_a 2.9657
_cell_length_b 2.9657
_cell_length_c 28.8457
_cell_angle_alpha 90.00
_cell_angle_beta 90.00
_cell_angle_gamma 120.00
loop_
_atom_site_label
_atom_site_type_symbol
_atom_site_fract_x
_atom_site_fract_y
_atom_site_fract_z
Ce1 Ce 0.0000 0.0000 0.0000
Al1 Al 0.0000 0.0000 0.2366
Pd1 Pd 0.0000 0.0000 0.5000